Entry 1:
This record from Alexandria describes a relaxed Er2Pd3 crystal. The functional is GGA-PBE.

Unit cell a=7.686 b=7.686 c=7.686 alpha=134.75 beta=64.48 gamma=136.61
Sites, in units of the cell vectors:
Er  0.161  0.231  0.391
Er  0.339  0.731  0.070
Er  0.661  0.269  0.930
Er  0.839  0.769  0.609
Pd  0.121  0.697  0.818
Pd  0.250  0.250  0.000
Pd  0.379  0.197  0.576
Pd  0.621  0.803  0.424
Pd  0.750  0.750  0.000
Pd  0.879  0.303  0.182

**Raw total energy**: -5.7053 eV/atom
**Energy of formation from the pure elements**: -3.82 eV per formula unit
**Crystal system**: orthorhombic
**Mass density**: 9.94 Mg/m³

=====

Entry 2:
This record from Alexandria describes a relaxed Na2U3Se6 crystal. The functional is GGA-PBE.

Unit cell a=7.140 b=7.140 c=7.496 alpha=99.10 beta=99.10 gamma=119.98
Sites, in units of the cell vectors:
Na  0.167  0.833  0.000
Na  0.833  0.167  0.000
U  0.000  0.000  0.500
U  0.335  0.665  0.500
U  0.665  0.335  0.500
Se  0.075  0.409  0.728
Se  0.256  0.256  0.270
Se  0.409  0.075  0.728
Se  0.591  0.925  0.272
Se  0.744  0.744  0.730
Se  0.925  0.591  0.272

**Raw total energy**: -6.4080 eV/atom
**Crystal system**: monoclinic
**Mass density**: 6.53 Mg/m³

=====

Entry 3:
This record from Alexandria describes a relaxed U3Ga4Pt4 crystal. The functional is GGA-PBE.

Unit cell a=14.196 b=14.196 c=14.196 alpha=166.66 beta=161.73 gamma=22.69
Sites, in units of the cell vectors:
U  0.000  0.000  0.000
U  0.359  0.859  0.500
U  0.641  0.141  0.500
Ga  0.094  0.594  0.500
Ga  0.260  0.260  0.000
Ga  0.740  0.740  0.000
Ga  0.906  0.406  0.500
Pt  0.187  0.687  0.500
Pt  0.450  0.450  0.000
Pt  0.550  0.550  0.000
Pt  0.813  0.313  0.500

**Raw total energy**: -6.9738 eV/atom
**Energy of formation from the pure elements**: -6.58 eV per formula unit
**Crystal system**: orthorhombic
**Mass density**: 14.23 Mg/m³

=====

Entry 4:
This record from Alexandria describes a relaxed PaNiSn2 crystal. The functional is GGA-PBE.

Unit cell a=10.448 b=10.448 c=10.448 alpha=17.56 beta=17.56 gamma=17.56
Sites, in units of the cell vectors:
Pa  0.000  0.000  0.000
Ni  0.500  0.500  0.500
Sn  0.104  0.104  0.104
Sn  0.896  0.896  0.896

**Raw total energy**: -5.6683 eV/atom
**Energy of formation from the pure elements**: 0.61 eV per formula unit
**Crystal system**: trigonal
**Mass density**: 9.66 Mg/m³